# 1
Material: HgSb
Method: DFT, PBE
State: optimized geometry

Lattice parameters (Å, degrees): 4.4123 4.4123 8.1470 90.00 90.00 120.00
With the nearest neighbours (Å) after each atom.
Atoms (fractional coordinates):
1 Hg 0.3333 0.6667 0.7118  4 Sb 2.78-2.86
2 Hg 0.6667 0.3333 0.2118  4 Sb 2.78-2.86
3 Sb 0.3333 0.6667 0.3702  4 Hg 2.78-2.86
4 Sb 0.6667 0.3333 0.8702  4 Hg 2.78-2.86

## Properties
The calculation puts the uncorrected formation energy at 0.496 eV per formula unit. The value obtained for the total energy is -7.86 eV/cell. Its total magnetization is 0.0 μB/cell. Its energy above the most stable polymorph in this dataset is 21.1 kJ per mole of atoms. Its symmetry is No. 186.

---

# 2
Material: La2HfS2N2
Method: DFT, PBE
State: optimized geometry

Lattice parameters (Å, degrees): 4.2553 4.2553 7.9454 105.53 105.53 90.00
With the nearest neighbours (Å) after each atom.
Atoms (fractional coordinates):
1 La 0.3810 0.3810 0.7621  4 N 2.75, 1 S 3.00
2 La 0.6190 0.6190 0.2379  4 N 2.75, 1 S 3.00
3 Hf 0.0000 0.0000 0.0000  4 N 2.13
4 S 0.1770 0.1770 0.3540  1 Hf 2.60
5 S 0.8230 0.8230 0.6460  1 Hf 2.60
6 N 0.0000 0.5000 0.0000  2 Hf 2.13
7 N 0.5000 0.0000 0.0000  2 Hf 2.13

## Properties
The calculation puts the uncorrected formation energy at -13.377 eV per formula unit. The value obtained for the total energy is -58.09 eV/cell. Its total magnetization is 0.0 μB/cell. Its symmetry is No. 139.

---

# 3
Material: Dy2MgPaN4
Method: DFT, PBE
State: optimized geometry

Lattice parameters (Å, degrees): 3.4778 5.7925 5.9344 108.26 90.00 90.00
With the nearest neighbours (Å) after each atom.
Atoms (fractional coordinates):
1 Dy 0.5000 0.0000 0.5000  6 N 2.48-2.49
2 Dy 0.0000 0.5000 0.5000  6 N 2.40-2.44
3 Mg 0.0000 0.0000 0.0000  6 N 2.35-2.45
4 Pa 0.5000 0.5000 0.0000  6 N 2.27-2.41
5 N 0.5000 0.2626 0.2395  1 Pa 2.27, 3 Dy 2.44-2.49, 2 Mg 2.45
6 N 0.5000 0.7374 0.7605  1 Pa 2.27, 3 Dy 2.44-2.49, 2 Mg 2.45
7 N 0.0000 0.2541 0.7590  1 Mg 2.35, 3 Dy 2.40-2.48, 2 Pa 2.41
8 N 0.0000 0.7459 0.2410  1 Mg 2.35, 3 Dy 2.40-2.48, 2 Pa 2.41

## Properties
The calculation puts the uncorrected formation energy at -11.731 eV per formula unit. The value obtained for the total energy is -65.33 eV/cell. Its total magnetization is 0.0 μB/cell. Its symmetry is No. 10.

---

# 4
Material: Tb2Pr3Er3
Method: DFT, PBE
State: optimized geometry

Lattice parameters (Å, degrees): 5.7548 6.0567 8.7839 111.32 109.12 90.00
With the nearest neighbours (Å) after each atom.
Atoms (fractional coordinates):
1 Tb 0.7502 0.6806 0.5003  4 Pr 3.44-3.57, 5 Er 3.47-3.84, 2 Tb 3.61
2 Tb 0.2498 0.3194 0.4997  4 Pr 3.44-3.57, 5 Er 3.47-3.84, 2 Tb 3.61
3 Pr 0.3645 0.9282 0.7291  1 Pr 3.33, 4 Tb 3.44-3.57, 5 Er 3.56-3.70
4 Pr 0.5000 0.5000 0.0000  2 Pr 3.33, 4 Er 3.53
5 Pr 0.6355 0.0718 0.2709  1 Pr 3.33, 4 Tb 3.44-3.57, 5 Er 3.56-3.70
6 Er 0.8679 0.3163 0.7359  1 Er 3.42, 4 Tb 3.47-3.59, 5 Pr 3.53-3.70
7 Er 0.1321 0.6837 0.2641  1 Er 3.42, 4 Tb 3.47-3.59, 5 Pr 3.53-3.70
8 Er 0.0000 0.0000 0.0000  2 Er 3.42, 4 Pr 3.57

## Properties
Its formation energy is 90 meV/atom. The value obtained for the total energy is -36.57 eV/cell. Its total magnetization is 0.0 μB/cell. Its energy above the most stable polymorph in this dataset is 6.4 kJ per mole of atoms. Its symmetry is No. 12.